In2Si2Ru: relaxed, PBE.

Structure (POSCAR):
```
In2Si2Ru
1.0
-1.6669 1.6669 8.5982
1.6669 -1.6669 8.5982
1.6669 1.6669 -8.5982
In Si Ru
2 2 1
Direct
0.0912 0.0912 0.0000
0.9088 0.9088 0.0000
0.2500 0.7500 0.5000
0.7500 0.2500 0.5000
0.5000 0.5000 0.0000
```

Calculated values
- SG = No. 139
- raw total energy (eV/atom) = -4.816
- E_form (uncorrected) (meV per atom) = 304